1.
Material: Al2ZnRhC
Method: DFT, meta-GGA SCAN
State: single point on PBEsol structure

Computed properties:
* energy of formation: 33 kJ/mol of formula units
* calculated total energy: -72.553 eV/cell

CIF file:
```
data_Al2ZnRhC
_cell_length_a 3.954
_cell_length_b 3.954
_cell_length_c 4.044
_cell_angle_alpha 90.00
_cell_angle_beta 90.00
_cell_angle_gamma 90.00
_space_group_name_H-M_alt 'P 4/m m m'
_space_group_IT_number 123
_space_group_name_Hall '-P 4 2'
loop_
_atom_site_label
_atom_site_type_symbol
_atom_site_fract_x
_atom_site_fract_y
_atom_site_fract_z
Al1 Al 0.000 0.500 0.000
Zn1 Zn 0.000 0.000 0.500
Rh1 Rh 0.500 0.500 0.500
C1 C 0.000 0.000 0.000
```



2.
Material: NaSiSeBr2
Method: DFT, meta-GGA SCAN
State: single point on PBEsol structure

Computed properties:
* calculated total energy: -71.583 eV/cell

CIF file:
```
data_NaSiSeBr2
_cell_length_a 5.068
_cell_length_b 5.068
_cell_length_c 5.266
_cell_angle_alpha 90.00
_cell_angle_beta 90.00
_cell_angle_gamma 90.00
_space_group_name_H-M_alt 'P 4/m m m'
_space_group_IT_number 123
_space_group_name_Hall '-P 4 2'
loop_
_atom_site_label
_atom_site_type_symbol
_atom_site_fract_x
_atom_site_fract_y
_atom_site_fract_z
Na1 Na 0.000 0.000 0.000
Si1 Si 0.500 0.500 0.500
Se1 Se 0.000 0.000 0.500
Br1 Br 0.000 0.500 0.000
```



3.
Material: CuSiH2O4
Method: DFT, meta-GGA SCAN
State: single point on PBEsol structure

Computed properties:
* calculated total energy: -1275.240 eV/cell

CIF file:
```
data_CuSiH2O4
_cell_length_a 14.5511
_cell_length_b 14.5511
_cell_length_c 7.6950
_cell_angle_alpha 90.00
_cell_angle_beta 90.00
_cell_angle_gamma 120.00
_space_group_name_H-M_alt 'R -3'
_space_group_IT_number 148
_space_group_name_Hall '-R 3'
loop_
_atom_site_label
_atom_site_type_symbol
_atom_site_fract_x
_atom_site_fract_y
_atom_site_fract_z
Cu1 Cu 0.0024 0.4070 0.0707
Si1 Si 0.0393 0.2163 0.0428
H1 H 0.0276 0.8763 0.4679
H2 H 0.0616 0.1769 0.6904
O1 O 0.0189 0.3016 0.9372
O2 O 0.0480 0.1808 0.5649
O3 O 0.0685 0.5096 0.8852
O4 O 0.0738 0.8932 0.9123
```



4.
Material: TaInSe3
Method: DFT, meta-GGA SCAN
State: single point on PBEsol structure

Computed properties:
* calculated total energy: -162.080 eV/cell

CIF file:
```
data_TaInSe3
_cell_length_a 5.021
_cell_length_b 5.021
_cell_length_c 5.021
_cell_angle_alpha 90.00
_cell_angle_beta 90.00
_cell_angle_gamma 90.00
_space_group_name_H-M_alt 'P m -3 m'
_space_group_IT_number 221
_space_group_name_Hall '-P 4 2 3'
loop_
_atom_site_label
_atom_site_type_symbol
_atom_site_fract_x
_atom_site_fract_y
_atom_site_fract_z
Ta1 Ta 0.000 0.000 0.000
In1 In 0.500 0.500 0.500
Se1 Se 0.000 0.000 0.500
```



5.
Material: BaHgBi2Pt
Method: DFT, meta-GGA SCAN
State: single point on PBEsol structure

Computed properties:
* energy of formation: 560 kJ/mol of formula units
* calculated total energy: -329.268 eV/cell

CIF file:
```
data_BaHgBi2Pt
_cell_length_a 6.297
_cell_length_b 6.297
_cell_length_c 5.301
_cell_angle_alpha 90.00
_cell_angle_beta 90.00
_cell_angle_gamma 90.00
_space_group_name_H-M_alt 'P 4/m m m'
_space_group_IT_number 123
_space_group_name_Hall '-P 4 2'
loop_
_atom_site_label
_atom_site_type_symbol
_atom_site_fract_x
_atom_site_fract_y
_atom_site_fract_z
Ba1 Ba 0.000 0.000 0.000
Hg1 Hg 0.500 0.500 0.500
Bi1 Bi 0.000 0.500 0.000
Pt1 Pt 0.000 0.000 0.500
```



6.
Material: Y4MgPt
Method: DFT, meta-GGA SCAN
State: single point on PBEsol structure

Computed properties:
* energy of formation: -373 kJ/mol of formula units
* calculated total energy: -3046.422 eV/cell

CIF file:
```
data_Y4MgPt
_cell_length_a 13.663
_cell_length_b 13.663
_cell_length_c 13.663
_cell_angle_alpha 90.00
_cell_angle_beta 90.00
_cell_angle_gamma 90.00
_space_group_name_H-M_alt 'F -4 3 m'
_space_group_IT_number 216
_space_group_name_Hall 'F -4 2 3'
loop_
_atom_site_label
_atom_site_type_symbol
_atom_site_fract_x
_atom_site_fract_y
_atom_site_fract_z
Y1 Y 0.000 0.000 0.185
Y2 Y 0.061 0.250 0.750
Y3 Y 0.099 0.099 0.401
Mg1 Mg 0.170 0.170 0.170
Pt1 Pt 0.108 0.108 0.608
```



7.
Material: FePtN2F
Method: DFT, meta-GGA SCAN
State: single point on PBEsol structure

Computed properties:
* relative energy among the computed polymorphs: 161 meV per atom
* calculated total energy: -106.125 eV/cell

CIF file:
```
data_FePtN2F
_cell_length_a 3.671
_cell_length_b 3.671
_cell_length_c 5.387
_cell_angle_alpha 90.00
_cell_angle_beta 90.00
_cell_angle_gamma 90.00
_space_group_name_H-M_alt 'P 4/m m m'
_space_group_IT_number 123
_space_group_name_Hall '-P 4 2'
loop_
_atom_site_label
_atom_site_type_symbol
_atom_site_fract_x
_atom_site_fract_y
_atom_site_fract_z
Fe1 Fe 0.000 0.000 0.000
Pt1 Pt 0.500 0.500 0.500
N1 N 0.000 0.500 0.500
F1 F 0.500 0.500 0.000
```



8.
Material: LiFeMo4
Method: DFT, meta-GGA SCAN
State: single point on PBEsol structure

Computed properties:
* energy of formation: 349 kJ/mol of formula units
* calculated total energy: -625.754 eV/cell

CIF file:
```
data_LiFeMo4
_cell_length_a 7.212
_cell_length_b 7.212
_cell_length_c 7.212
_cell_angle_alpha 90.00
_cell_angle_beta 90.00
_cell_angle_gamma 90.00
_space_group_name_H-M_alt 'F -4 3 m'
_space_group_IT_number 216
_space_group_name_Hall 'F -4 2 3'
loop_
_atom_site_label
_atom_site_type_symbol
_atom_site_fract_x
_atom_site_fract_y
_atom_site_fract_z
Li1 Li 0.000 0.000 0.000
Fe1 Fe 0.250 0.250 0.750
Mo1 Mo 0.126 0.126 0.374
```



9.
Material: TaBeOsPb2
Method: DFT, meta-GGA SCAN
State: single point on PBEsol structure

Computed properties:
* energy of formation: 696 kJ/mol of formula units
* calculated total energy: -287.165 eV/cell

CIF file:
```
data_TaBeOsPb2
_cell_length_a 4.611
_cell_length_b 4.611
_cell_length_c 4.438
_cell_angle_alpha 90.00
_cell_angle_beta 90.00
_cell_angle_gamma 90.00
_space_group_name_H-M_alt 'P 4/m m m'
_space_group_IT_number 123
_space_group_name_Hall '-P 4 2'
loop_
_atom_site_label
_atom_site_type_symbol
_atom_site_fract_x
_atom_site_fract_y
_atom_site_fract_z
Ta1 Ta 0.000 0.000 0.000
Be1 Be 0.000 0.000 0.500
Os1 Os 0.500 0.500 0.000
Pb1 Pb 0.000 0.500 0.500
```



10.
Material: LiYTc
Method: DFT, meta-GGA SCAN
State: single point on PBEsol structure

Computed properties:
* energy of formation: 230 kJ/mol of formula units
* relative energy among the computed polymorphs: 437 meV per atom
* calculated total energy: -251.651 eV/cell

CIF file:
```
data_LiYTc
_cell_length_a 6.098
_cell_length_b 6.098
_cell_length_c 6.098
_cell_angle_alpha 90.00
_cell_angle_beta 90.00
_cell_angle_gamma 90.00
_space_group_name_H-M_alt 'F -4 3 m'
_space_group_IT_number 216
_space_group_name_Hall 'F -4 2 3'
loop_
_atom_site_label
_atom_site_type_symbol
_atom_site_fract_x
_atom_site_fract_y
_atom_site_fract_z
Li1 Li 0.000 0.000 0.000
Y1 Y 0.250 0.250 0.250
Tc1 Tc 0.250 0.250 0.750
```



11.
Material: TlOs3N
Method: DFT, meta-GGA SCAN
State: single point on PBEsol structure

Computed properties:
* relative energy among the computed polymorphs: 0 meV per atom
* calculated total energy: -291.664 eV/cell

CIF file:
```
data_TlOs3N
_cell_length_a 4.112
_cell_length_b 4.112
_cell_length_c 4.112
_cell_angle_alpha 90.00
_cell_angle_beta 90.00
_cell_angle_gamma 90.00
_space_group_name_H-M_alt 'P m -3 m'
_space_group_IT_number 221
_space_group_name_Hall '-P 4 2 3'
loop_
_atom_site_label
_atom_site_type_symbol
_atom_site_fract_x
_atom_site_fract_y
_atom_site_fract_z
Tl1 Tl 0.000 0.000 0.000
Os1 Os 0.000 0.500 0.500
N1 N 0.500 0.500 0.500
```



| no. | V (Å³/cell) | density (Mg/m³) |
| --- | --- | --- |
| 1 | 63.2 | 6.153 |
| 2 | 135.3 | 3.558 |
| 3 | 1411.0 | 3.339 |
| 4 | 126.6 | 6.988 |
| 5 | 210.2 | 7.513 |
| 6 | 2550.6 | 5.990 |
| 7 | 72.6 | 6.816 |
| 8 | 375.1 | 7.907 |
| 9 | 94.4 | 13.981 |
| 10 | 226.8 | 5.678 |
| 11 | 69.5 | 18.845 |